Crystalline SbMoW2 at its relaxed geometry. Source: Alexandria, functional PBE.

V = 135.34 Å³/cell
calculated total energy = -9.887 eV per atom
formation energy (no corrections) = 31.7 kJ per mole of atoms

Unit cell a=3.2911 b=4.3947 c=9.3573 alpha=90.00 beta=90.00 gamma=90.00
With the nearest neighbours (Å) after each atom.
Space group Immm (No. 71)
One atom of each set of equivalent atoms:
Sb 0.0000 0.0000 0.0000 x2  4 Mo 2.75, 4 W 2.89
Mo 0.0000 0.0000 0.5000 x2  4 Sb 2.75, 4 W 2.83
W 0.0000 0.5000 0.2462 x4  4 W 2.75, 2 Mo 2.83, 2 Sb 2.89